No. 1
CsBr2Cl4 | GGA-PBE | relaxed

a = 6.8580 Å, b = 9.4026 Å, c = 9.4066 Å
α = 82.36°, β = 68.62°, γ = 68.61°
Sites, in units of the cell vectors:
Cl (0.1524, 0.6644, 0.7820)
Cs (0.0000, 0.0000, 0.0000)
Cl (0.1514, 0.2820, 0.1644)
Cl (0.5988, 0.3356, 0.2180)
Br (0.1490, 0.4761, 0.9761)
Cl (0.5665, 0.8358, 0.2820)
Br (0.6012, 0.5239, 0.0239)
Cl (0.6843, 0.1642, 0.7180)
Cl (0.5979, 0.7180, 0.8356)
Br (0.8749, 0.9761, 0.5239)
Cs (0.7497, 0.5000, 0.5000)
Cl (0.0656, 0.7820, 0.3357)
Br (0.3749, 0.0239, 0.4761)
Cl (0.1833, 0.2180, 0.6643)

Calculated density ... 2.7 g/cm³
SG ... I-42d, No. 122
Formation energy from raw total energies ... -0.597 eV per atom

No. 2
CuTc2Br | GGA-PBE | relaxed

a = 4.5893 Å, b = 4.5893 Å, c = 4.5893 Å
α = 125.98°, β = 125.98°, γ = 79.92°
Sites, in units of the cell vectors:
Tc (0.0000, 0.0000, 0.0000)
Tc (0.2500, 0.7500, 0.5000)
Cu (0.7500, 0.2500, 0.5000)
Br (0.5000, 0.5000, 0.0000)

Energy above the lowest structure with this stoichiometry ... 543 meV per atom
Calculated density ... 9.2 g/cm³
SG ... I-4m2, No. 119
Formation energy from raw total energies ... 0.899 eV per atom